Entry 1:
First-principles (meta-GGA SCAN) data for a crystal of CaCuOs relaxed with PBEsol, as listed in the Alexandria database.

Unit cell a=6.103 b=6.103 c=6.103 alpha=90.00 beta=90.00 gamma=90.00
Space group F-43m (No. 216)
Inequivalent atoms, fractional coordinates:
Ca: 0.000 0.000 0.000
Cu: 0.250 0.250 0.750
Os: 0.000 0.000 0.500

formation enthalpy at 0 K: 2.69 eV/f.u.
magnetic moment: 0.39 μB/atom

Entry 2:
First-principles (meta-GGA SCAN) data for a crystal of GaGeTe2N relaxed with PBEsol, as listed in the Alexandria database.

Unit cell a=5.706 b=5.706 c=3.459 alpha=90.00 beta=90.00 gamma=90.00
Space group P4/mmm (No. 123)
Inequivalent atoms, fractional coordinates:
Ga: 0.000 0.000 0.000
Ge: 0.500 0.500 0.500
Te: 0.000 0.500 0.000
N: 0.000 0.000 0.500

formation energy (no corrections): 0.67 eV/atom
magnetic moment: 0.00 μB/atom

Entry 3:
First-principles (meta-GGA SCAN) data for a crystal of ZnCu2Ni relaxed with PBEsol, as listed in the Alexandria database.

Unit cell a=2.5439 b=2.5439 c=24.5276 alpha=90.00 beta=90.00 gamma=120.00
Space group R3m (No. 160, hexagonal axes)
Inequivalent atoms, fractional coordinates:
Zn: 0.0000 0.0000 0.0000
Cu: 0.0000 0.0000 0.2468
Cu: 0.0000 0.0000 0.4967
Ni: 0.0000 0.0000 0.7485

formation enthalpy at 0 K: -0.06 eV/f.u.
magnetic moment: 0.00 μB/atom

Entry 4:
First-principles (meta-GGA SCAN) data for a crystal of Ag2SbAu relaxed with PBEsol, as listed in the Alexandria database.

Unit cell a=3.400 b=3.812 c=5.785 alpha=90.00 beta=90.00 gamma=90.00
Space group Pmm2 (No. 25)
Inequivalent atoms, fractional coordinates:
Ag: 0.000 0.000 0.000
Ag: 0.500 0.500 0.235
Sb: 0.500 0.500 0.733
Au: 0.000 0.000 0.481

formation energy (no corrections): 0.05 eV/atom
magnetic moment: 0.00 μB/atom

Entry 5:
First-principles (meta-GGA SCAN) data for a crystal of Sc2CrP relaxed with PBEsol, as listed in the Alexandria database.

Unit cell a=3.4859 b=3.4859 c=21.9933 alpha=90.00 beta=90.00 gamma=120.00
Space group R-3m (No. 166, hexagonal axes)
Inequivalent atoms, fractional coordinates:
Sc: 0.0000 0.0000 0.2371
Cr: 0.0000 0.0000 0.0000
P: 0.0000 0.0000 0.5000

formation enthalpy at 0 K: -1.94 eV/f.u.
magnetic moment: 0.90 μB/atom

Entry 6:
First-principles (meta-GGA SCAN) data for a crystal of Li3MnO3 relaxed with PBEsol, as listed in the Alexandria database.

Unit cell a=8.862 b=8.862 c=3.511 alpha=90.00 beta=90.00 gamma=90.00
Space group P4_2/mnm (No. 136)
Inequivalent atoms, fractional coordinates:
Li: 0.097 0.357 0.000
Li: 0.171 0.171 0.500
Mn: 0.116 0.884 0.000
O: 0.102 0.102 0.000
O: 0.112 0.678 0.000

formation energy (no corrections): -2.14 eV/atom
magnetic moment: 0.57 μB/atom

Entry 7:
First-principles (meta-GGA SCAN) data for a crystal of Ta2TcSe relaxed with PBEsol, as listed in the Alexandria database.

Unit cell a=5.820 b=7.211 c=3.125 alpha=90.00 beta=98.67 gamma=90.00
Space group C2/m (No. 12)
Inequivalent atoms, fractional coordinates:
Ta: 0.250 0.250 0.000
Tc: 0.000 0.000 0.500
Se: 0.000 0.500 0.500

formation energy (no corrections): -0.03 eV/atom
magnetic moment: 0.00 μB/atom

Entry 8:
First-principles (meta-GGA SCAN) data for a crystal of TaTlCl2 relaxed with PBEsol, as listed in the Alexandria database.

Unit cell a=3.069 b=4.643 c=5.521 alpha=90.00 beta=90.00 gamma=90.00
Space group Pmmm (No. 47)
Inequivalent atoms, fractional coordinates:
Ta: 0.000 0.000 0.000
Tl: 0.500 0.000 0.500
Cl: 0.000 0.500 0.500
Cl: 0.500 0.500 0.000

formation energy (no corrections): 0.18 eV/atom
magnetic moment: 0.22 μB/atom

Entry 9:
First-principles (meta-GGA SCAN) data for a crystal of CrGeBiC2 relaxed with PBEsol, as listed in the Alexandria database.

Unit cell a=4.420 b=4.420 c=5.474 alpha=90.00 beta=90.00 gamma=90.00
Space group P4/mmm (No. 123)
Inequivalent atoms, fractional coordinates:
Cr: 0.000 0.000 0.000
Ge: 0.500 0.500 0.000
Bi: 0.500 0.500 0.500
C: 0.000 0.500 0.500

formation enthalpy at 0 K: 13.85 eV/f.u.
magnetic moment: 0.48 μB/atom

Entry 10:
First-principles (meta-GGA SCAN) data for a crystal of Cs3AlBr6 relaxed with PBEsol, as listed in the Alexandria database.

Unit cell a=11.867 b=11.867 c=11.867 alpha=90.00 beta=90.00 gamma=90.00
Space group Fm-3m (No. 225)
Inequivalent atoms, fractional coordinates:
Cs: 0.000 0.000 0.000
Cs: 0.250 0.250 0.250
Al: 0.000 0.000 0.500
Br: 0.000 0.000 0.287

formation energy (no corrections): -1.68 eV/atom
magnetic moment: 0.00 μB/atom

Entry 11:
First-principles (meta-GGA SCAN) data for a crystal of Ba2FeAu relaxed with PBEsol, as listed in the Alexandria database.

Unit cell a=5.549 b=5.549 c=3.766 alpha=90.00 beta=90.00 gamma=90.00
Space group P4/mmm (No. 123)
Inequivalent atoms, fractional coordinates:
Ba: 0.000 0.500 0.000
Fe: 0.000 0.000 0.500
Au: 0.500 0.500 0.500

formation enthalpy at 0 K: 0.09 eV/f.u.
magnetic moment: 0.63 μB/atom

Entry 12:
First-principles (meta-GGA SCAN) data for a crystal of Zn4Fe relaxed with PBEsol, as listed in the Alexandria database.

Unit cell a=5.932 b=5.932 c=3.668 alpha=90.00 beta=90.00 gamma=90.00
Space group I4/m (No. 87)
Inequivalent atoms, fractional coordinates:
Zn: 0.100 0.707 0.000
Fe: 0.000 0.000 0.500

formation enthalpy at 0 K: 0.08 eV/f.u.
magnetic moment: 0.42 μB/atom

Entry 13:
First-principles (meta-GGA SCAN) data for a crystal of MnI2N relaxed with PBEsol, as listed in the Alexandria database.

Unit cell a=7.278 b=7.278 c=7.278 alpha=90.00 beta=90.00 gamma=90.00
Space group Fm-3m (No. 225)
Inequivalent atoms, fractional coordinates:
Mn: 0.000 0.000 0.000
I: 0.250 0.250 0.250
N: 0.000 0.000 0.500

formation energy (no corrections): 0.94 eV/atom
magnetic moment: 2.00 μB/atom

Entry 14:
First-principles (meta-GGA SCAN) data for a crystal of CrTc2Ag relaxed with PBEsol, as listed in the Alexandria database.

Unit cell a=2.6873 b=2.6873 c=26.8574 alpha=90.00 beta=90.00 gamma=120.00
Space group R-3m (No. 166, hexagonal axes)
Inequivalent atoms, fractional coordinates:
Cr: 0.0000 0.0000 0.0000
Tc: 0.0000 0.0000 0.2585
Ag: 0.0000 0.0000 0.5000

formation enthalpy at 0 K: 1.20 eV/f.u.
magnetic moment: 0.00 μB/atom

Entry 15:
First-principles (meta-GGA SCAN) data for a crystal of Rb2Be3Zn2F12 relaxed with PBEsol, as listed in the Alexandria database.

Unit cell a=10.022 b=10.022 c=10.022 alpha=90.00 beta=90.00 gamma=90.00
Space group P2_13 (No. 198)
Inequivalent atoms, fractional coordinates:
Rb: 0.044 0.044 0.044
Rb: 0.187 0.313 0.687
Be: 0.021 0.210 0.377
Zn: 0.100 0.900 0.400
Zn: 0.166 0.666 0.834
F: 0.007 0.064 0.327
F: 0.009 0.558 0.765
F: 0.046 0.804 0.228
F: 0.096 0.831 0.746

formation energy (no corrections): -3.11 eV/atom
magnetic moment: 0.00 μB/atom

Entry 16:
First-principles (meta-GGA SCAN) data for a crystal of MgScBeOs2 relaxed with PBEsol, as listed in the Alexandria database.

Unit cell a=4.186 b=4.186 c=4.412 alpha=90.00 beta=90.00 gamma=90.00
Space group P4/mmm (No. 123)
Inequivalent atoms, fractional coordinates:
Mg: 0.000 0.000 0.000
Sc: 0.500 0.500 0.000
Be: 0.500 0.500 0.500
Os: 0.000 0.500 0.500

formation enthalpy at 0 K: 1.34 eV/f.u.
magnetic moment: 0.00 μB/atom

Entry 17:
First-principles (meta-GGA SCAN) data for a crystal of BaZrSe2 relaxed with PBEsol, as listed in the Alexandria database.

Unit cell a=3.879 b=3.879 c=7.502 alpha=90.00 beta=90.00 gamma=90.00
Space group P4mm (No. 99)
Inequivalent atoms, fractional coordinates:
Ba: 0.000 0.000 0.000
Zr: 0.500 0.500 0.548
Se: 0.000 0.000 0.561
Se: 0.500 0.500 0.202

formation energy (no corrections): -1.34 eV/atom
magnetic moment: 0.32 μB/atom

Entry 18:
First-principles (meta-GGA SCAN) data for a crystal of ErNiPb relaxed with PBEsol, as listed in the Alexandria database.

Unit cell a=7.005 b=4.464 c=7.673 alpha=90.00 beta=90.00 gamma=90.00
Space group Pnma (No. 62)
Inequivalent atoms, fractional coordinates:
Er: 0.012 0.250 0.200
Ni: 0.213 0.750 0.416
Pb: 0.187 0.250 0.587

formation enthalpy at 0 K: -1.65 eV/f.u.
magnetic moment: 0.00 μB/atom

Entry 19:
First-principles (meta-GGA SCAN) data for a crystal of ZnIn3 relaxed with PBEsol, as listed in the Alexandria database.

Unit cell a=3.195 b=4.340 c=6.528 alpha=90.00 beta=90.00 gamma=90.00
Space group Pmmm (No. 47)
Inequivalent atoms, fractional coordinates:
Zn: 0.000 0.000 0.000
In: 0.000 0.000 0.500
In: 0.500 0.500 0.231

formation enthalpy at 0 K: 0.59 eV/f.u.
magnetic moment: 0.00 μB/atom

Entry 20:
First-principles (meta-GGA SCAN) data for a crystal of LiSb2As relaxed with PBEsol, as listed in the Alexandria database.

Unit cell a=7.112 b=7.112 c=7.112 alpha=90.00 beta=90.00 gamma=90.00
Space group F-43m (No. 216)
Inequivalent atoms, fractional coordinates:
Li: 0.000 0.000 0.000
Sb: 0.000 0.000 0.500
Sb: 0.250 0.250 0.250
As: 0.250 0.250 0.750

formation energy (no corrections): 0.10 eV/atom
magnetic moment: 0.00 μB/atom